Record 1
An optimized crystal structure of Pm5NdTm. Source: the Alexandria database, functional PBE.

Space group ... No. 15
Total magnetization ... 0.0 μB per formula unit
Density of states at the Fermi level ... 1.47 states/eV/atom

a b c (Å): 9.897 6.612 12.032
angles (deg): 74.70 90.00 138.45
Fractional coordinates of all 14 atoms:
Pm (0.977, 0.587, 0.837)
Pm (0.465, 0.231, 0.965)
Pm (0.847, 0.000, 0.750)
Pm (0.233, 0.769, 0.535)
Nd (0.502, 0.000, 0.250)
Pm (0.610, 0.587, 0.337)
Pm (0.153, 0.000, 0.250)
Pm (0.390, 0.413, 0.663)
Pm (0.023, 0.413, 0.163)
Pm (0.767, 0.231, 0.465)
Pm (0.535, 0.769, 0.035)
Nd (0.498, 0.000, 0.750)
Tm (0.000, 0.000, 0.000)
Tm (0.000, 0.000, 0.500)

Record 2
An optimized crystal structure of Pm2Nd3Tm2. Source: the Alexandria database, functional PBE.

Space group ... No. 12
Total magnetization ... 0.0 μB per formula unit
Energy above the most stable polymorph in this dataset ... 100.8 meV per atom
Density of states at the Fermi level ... 1.57 states/eV/atom

a b c (Å): 3.539 8.617 9.044
angles (deg): 118.27 101.28 90.00
Fractional coordinates of all 7 atoms:
Nd (0.213, 0.795, 0.426)
Tm (0.853, 0.669, 0.706)
Tm (0.147, 0.331, 0.294)
Nd (0.787, 0.205, 0.574)
Pm (0.565, 0.912, 0.130)
Pm (0.435, 0.088, 0.870)
Nd (0.000, 0.500, 0.000)

Record 3
An optimized crystal structure of Pm7NdTm12. Source: the Alexandria database, functional PBE.

Space group ... No. 148
Total magnetization ... 0.0 μB per formula unit
Energy above the most stable polymorph in this dataset ... 0.0 meV per atom
Density of states at the Fermi level ... 1.80 states/eV/atom

a b c (Å): 8.732 8.732 8.732
angles (deg): 86.03 86.03 86.03
Fractional coordinates of all 20 atoms:
Tm (0.503, 0.378, 0.867)
Tm (0.738, 0.274, 0.148)
Tm (0.148, 0.738, 0.274)
Tm (0.726, 0.852, 0.262)
Pm (0.158, 0.398, 0.070)
Tm (0.262, 0.726, 0.852)
Tm (0.497, 0.622, 0.133)
Pm (0.398, 0.070, 0.158)
Tm (0.867, 0.503, 0.378)
Pm (0.500, 0.500, 0.500)
Tm (0.622, 0.133, 0.497)
Tm (0.133, 0.497, 0.622)
Tm (0.274, 0.148, 0.738)
Pm (0.070, 0.158, 0.398)
Pm (0.602, 0.930, 0.842)
Nd (0.000, 0.000, 0.000)
Pm (0.842, 0.602, 0.930)
Pm (0.930, 0.842, 0.602)
Tm (0.852, 0.262, 0.726)
Tm (0.378, 0.867, 0.503)

Record 4
An optimized crystal structure of Pm3Nd3Tm. Source: the Alexandria database, functional PBE.

Space group ... No. 176
Total magnetization ... 0.0 μB per formula unit
Energy above the most stable polymorph in this dataset ... 0.0 meV per atom
Density of states at the Fermi level ... 1.70 states/eV/atom

a b c (Å): 5.848 9.758 9.755
angles (deg): 120.00 90.00 90.00
Fractional coordinates of all 14 atoms:
Pm (0.250, 0.953, 0.761)
Pm (0.750, 0.193, 0.953)
Tm (0.750, 0.333, 0.666)
Nd (0.750, 0.905, 0.524)
Nd (0.250, 0.095, 0.476)
Pm (0.750, 0.761, 0.807)
Tm (0.250, 0.667, 0.334)
Nd (0.250, 0.524, 0.619)
Nd (0.750, 0.619, 0.095)
Nd (0.750, 0.476, 0.381)
Pm (0.250, 0.807, 0.047)
Pm (0.750, 0.047, 0.239)
Pm (0.250, 0.239, 0.193)
Nd (0.250, 0.381, 0.905)

Record 5
An optimized crystal structure of Pm12NdTm6. Source: the Alexandria database, functional PBE.

Space group ... No. 148
Total magnetization ... 0.0 μB per formula unit
Energy above the most stable polymorph in this dataset ... 0.0 meV per atom
Density of states at the Fermi level ... 1.69 states/eV/atom

a b c (Å): 8.624 8.624 8.624
angles (deg): 88.81 88.81 88.81
Fractional coordinates of all 19 atoms:
Pm (0.781, 0.537, 0.433)
Tm (0.700, 0.258, 0.100)
Nd (0.000, 0.000, 0.000)
Pm (0.219, 0.463, 0.567)
Pm (0.983, 0.803, 0.637)
Tm (0.742, 0.900, 0.300)
Tm (0.300, 0.742, 0.900)
Pm (0.637, 0.983, 0.803)
Pm (0.197, 0.363, 0.017)
Pm (0.017, 0.197, 0.363)
Tm (0.258, 0.100, 0.700)
Pm (0.363, 0.017, 0.197)
Pm (0.803, 0.637, 0.983)
Pm (0.463, 0.567, 0.219)
Tm (0.100, 0.700, 0.258)
Pm (0.537, 0.433, 0.781)
Tm (0.900, 0.300, 0.742)
Pm (0.567, 0.219, 0.463)
Pm (0.433, 0.781, 0.537)

Record 6
An optimized crystal structure of PmNd3Tm8. Source: the Alexandria database, functional PBE.

Space group ... No. 121
Total magnetization ... 0.0 μB per formula unit
Density of states at the Fermi level ... 1.46 states/eV/atom

a b c (Å): 8.338 8.338 8.338
angles (deg): 95.00 117.16 117.16
Fractional coordinates of all 12 atoms:
Tm (0.000, 0.878, 0.627)
Tm (0.506, 0.747, 0.747)
Nd (0.500, 0.250, 0.750)
Tm (0.748, 0.122, 0.122)
Tm (0.000, 0.253, 0.759)
Tm (0.494, 0.241, 0.241)
Nd (0.500, 0.750, 0.250)
Tm (0.000, 0.627, 0.878)
Tm (0.000, 0.759, 0.253)
Nd (0.000, 0.500, 0.500)
Pm (0.000, 0.000, 0.000)
Tm (0.252, 0.373, 0.373)

Computed values of energy of formation from the pure elements (unit: eV per atom) for the preceding records, in sequence: 0.10 0.12 0.23 0.03 0.14 0.64.